Entry 1:
Compound: K2InMo
Source: the Alexandria database
Functional: PBE
Structure: optimized geometry

Geometry as extended XYZ:
```
4
Lattice="-1.5846 0.8670 4.2458 0.0229 -3.0797 0.6374 9.4342 -0.6202 3.6477" Properties=species:S:1:pos:R:3 pbc="T T T"
K 2.2621 -0.9555 3.5465
K 8.7627 -0.9452 3.4635
In 5.3615 -2.2351 4.9646
Mo 5.6489 -1.1674 2.3467
```

Magnetic moment in μB/cell: 1.94
Symmetry: Pm (6)

***

Entry 2:
Compound: K2InMo
Source: the Alexandria database
Functional: PBE
Structure: optimized geometry

Geometry as extended XYZ:
```
4
Lattice="-2.2947 4.7615 1.7167 -2.0919 0.3839 5.1343 2.5734 3.1046 3.8240" Properties=species:S:1:pos:R:3 pbc="T T T"
K -0.4533 2.0625 2.6687
K 0.0000 0.0000 0.0000
In -0.9066 4.1250 5.3375
Mo -1.3599 6.1875 8.0062
```

Magnetic moment in μB/cell: 3.13
Symmetry: F-43m (216)

***

Entry 3:
Compound: KIn2Mo
Source: the Alexandria database
Functional: PBE
Structure: optimized geometry

Geometry as extended XYZ:
```
4
Lattice="5.8854 0.5003 0.0000 2.0480 5.5402 0.0000 -3.9667 -3.0202 3.1673" Properties=species:S:1:pos:R:3 pbc="T T T"
K 3.9667 3.0202 0.0000
In 1.0240 2.7701 1.5836
In 0.0000 0.0000 0.0000
Mo 2.9427 0.2501 1.5836
```

Energy relative to the lowest polymorph listed for this composition in meV/atom: 555.4
Magnetic moment in μB/cell: 2.43
Symmetry: I-4m2 (119)

***

no.,VASP energy (eV for the cell shown),calculated formation energy (eV per atom)
1,-13.00,0.69
2,-11.88,0.97
3,-13.85,0.89